Compound: Si2TcMo2
Source: the Alexandria database
Functional: GGA-PBE
Structure: relaxed

## Properties
- SG: P4/mbm
- Magnetization: 0.000 μB/atom
- Density: 8.10 g/cm3
- Formation energy (no corrections): -0.279 eV per atom
- DOS(E_F): 6.55 states/eV per cell

a b c (Å): 6.5269 6.5269 3.3323
angles (deg): 90.00 90.00 90.00
Sites, in units of the cell vectors:
Mo: 0.1632 0.6632 0.5000
Mo: 0.6632 0.8368 0.5000
Mo: 0.8368 0.3368 0.5000
Mo: 0.3368 0.1632 0.5000
Si: 0.3660 0.8660 0.0000
Si: 0.8660 0.6340 0.0000
Si: 0.6340 0.1340 0.0000
Si: 0.1340 0.3660 0.0000
Tc: 0.0000 0.0000 0.0000
Tc: 0.5000 0.5000 0.0000

---

Compound: CdNiAg
Source: the Alexandria database
Functional: GGA-PBE
Structure: relaxed

## Properties
- Relative energy among the computed polymorphs: 0.63 eV/f.u.
- ΔH_f (0 K): 282 meV per atom
- SG: F-43m
- Magnetization: 0.000 μB/atom
- Density: 8.16 g/cm3
- DOS(E_F): 1.99 states/eV per cell

a b c (Å): 4.3135 4.3135 4.3135
angles (deg): 60.00 60.00 60.00
Sites, in units of the cell vectors:
Ag: 0.0000 0.0000 0.0000
Cd: 0.5000 0.5000 0.5000
Ni: 0.2500 0.2500 0.2500

---

Compound: CaSb3Mo
Source: the Alexandria database
Functional: GGA-PBE
Structure: relaxed

## Properties
- Relative energy among the computed polymorphs: 0.00 eV/f.u.
- SG: Pm-3m
- Magnetization: 0.134 μB/atom
- Density: 5.53 g/cm3
- Formation energy (no corrections): 0.147 eV per atom
- DOS(E_F): 4.77 states/eV per cell

a b c (Å): 5.3184 5.3184 5.3184
angles (deg): 90.00 90.00 90.00
Sites, in units of the cell vectors:
Sb: 0.0000 0.5000 0.0000
Sb: 0.0000 0.0000 0.5000
Sb: 0.5000 0.0000 0.0000
Mo: 0.0000 0.0000 0.0000
Ca: 0.5000 0.5000 0.5000

---

Compound: Tb4TlZn3
Source: the Alexandria database
Functional: GGA-PBE
Structure: relaxed

## Properties
- Relative energy among the computed polymorphs: 0.00 eV/f.u.
- ΔH_f (0 K): -324 meV per atom
- SG: Pmmm
- Magnetization: 0.000 μB/atom
- Density: 8.84 g/cm3
- DOS(E_F): 10.30 states/eV per cell

a b c (Å): 3.6717 5.1442 10.3083
angles (deg): 90.00 90.00 90.00
Sites, in units of the cell vectors:
Tl: 0.5000 0.5000 0.0000
Tb: 0.0000 0.0000 0.5000
Tb: 0.0000 0.5000 0.7365
Tb: 0.0000 0.0000 0.0000
Tb: 0.0000 0.5000 0.2635
Zn: 0.5000 0.0000 0.2557
Zn: 0.5000 0.5000 0.5000
Zn: 0.5000 0.0000 0.7443